1.
Below is crystalline Sm2YPt at its relaxed geometry, with properties calculated at the GGA-PBE level.

Structure (POSCAR):
```
Sm2YPt
1.0
3.851 0.000 0.000
1.926 3.335 0.000
1.926 1.112 9.626
Y Sm Pt
1 2 1
direct
0.500 0.500 0.500
0.730 0.730 0.811
0.270 0.270 0.189
0.000 0.000 0.000
```

Output
Formation energy ... -455 meV/atom
Final energy ... -5.94 eV/atom

2.
Below is crystalline MnNbPd4 at its relaxed geometry, with properties calculated at the GGA-PBE level.

Structure (POSCAR):
```
MnNbPd4
1.0
-3.049 4.092 -1.640
-1.721 -2.902 4.172
6.046 4.026 3.459
Mn Pd Nb
2 8 2
direct
0.375 0.625 0.250
0.625 0.375 0.750
0.220 0.968 0.435
0.968 0.220 0.935
0.780 0.032 0.565
0.715 0.467 0.435
0.032 0.780 0.065
0.285 0.533 0.565
0.467 0.715 0.935
0.533 0.285 0.065
0.125 0.875 0.750
0.875 0.125 0.250
```

Output
Formation energy ... -149 meV/atom
Final energy ... -6.82 eV/atom

3.
Below is crystalline Mg2Cr2Te at its relaxed geometry, with properties calculated at the GGA-PBE level.

Structure (POSCAR):
```
Mg2Cr2Te
1.0
7.464 0.000 0.000
0.000 7.464 0.000
0.000 0.000 3.908
Cr Mg Te
4 4 2
direct
0.349 0.151 0.500
0.849 0.349 0.500
0.651 0.849 0.500
0.151 0.651 0.500
0.638 0.138 0.000
0.862 0.638 0.000
0.362 0.862 0.000
0.138 0.362 0.000
0.000 0.000 0.000
0.500 0.500 0.000
```

Output
Energy relative to the elements, uncorrected ... 0.524 eV per atom
Final energy ... -4.59 eV/atom

4.
Below is crystalline ErTl2 at its relaxed geometry, with properties calculated at the GGA-PBE level.

Structure (POSCAR):
```
ErTl2
1.0
-1.874 3.051 0.327
-0.495 -2.126 -2.857
-1.522 -11.232 17.602
Er Tl
2 4
direct
0.167 0.833 0.750
0.833 0.167 0.250
0.831 0.501 0.417
0.169 0.499 0.583
0.499 0.169 0.083
0.501 0.831 0.917
```

Output
Formation energy ... -95 meV/atom
Final energy ... -3.19 eV/atom

5.
Below is crystalline CaNpNi10 at its relaxed geometry, with properties calculated at the GGA-PBE level.

Structure (POSCAR):
```
CaNpNi10
1.0
3.958 0.000 0.000
0.000 4.894 0.000
0.000 0.000 8.439
Ni Np Ca
10 1 1
direct
0.000 0.000 0.337
0.500 0.746 0.744
0.500 0.254 0.744
0.500 0.000 0.500
0.000 0.500 0.825
0.500 0.500 0.000
0.000 0.000 0.663
0.500 0.254 0.256
0.000 0.500 0.175
0.500 0.746 0.256
0.000 0.500 0.500
0.000 0.000 0.000
```

Output
Formation energy ... -128 meV/atom
Final energy ... -6.19 eV/atom

6.
Below is crystalline CaGa2SnH at its relaxed geometry, with properties calculated at the GGA-PBE level.

Structure (POSCAR):
```
CaGa2SnH
1.0
-3.673 2.796 0.016
-2.088 -2.726 -3.085
-1.788 -2.369 3.303
Sn Ga H Ca
1 2 1 1
direct
0.500 0.500 0.500
0.000 0.500 0.000
0.500 0.000 0.000
0.000 0.000 0.000
0.000 0.000 0.500
```

Output
Final energy ... -3.26 eV/atom

7.
Below is crystalline AlHg2As at its relaxed geometry, with properties calculated at the GGA-PBE level.

Structure (POSCAR):
```
AlHg2As
1.0
3.233 0.000 0.000
0.000 3.233 0.000
0.000 0.000 8.993
Al Hg As
1 2 1
direct
0.000 0.000 0.530
0.500 0.500 0.291
0.000 0.000 0.996
0.500 0.500 0.683
```

Output
Formation energy ... 146 meV/atom
Final energy ... -2.10 eV/atom

8.
Below is crystalline ZrTcSe2 at its relaxed geometry, with properties calculated at the GGA-PBE level.

Structure (POSCAR):
```
ZrTcSe2
1.0
3.362 0.000 0.000
0.000 3.355 -0.006
0.000 0.017 6.776
Se Zr Tc
2 1 1
direct
0.000 0.250 0.976
0.000 0.250 0.524
0.500 0.750 0.750
0.500 0.250 0.250
```

Output
Energy relative to the elements, uncorrected ... -0.353 eV per atom
Final energy ... -6.82 eV/atom

9.
Below is crystalline Y3Zn5H12 at its relaxed geometry, with properties calculated at the GGA-PBE level.

Structure (POSCAR):
```
Y3Zn5H12
1.0
10.516 0.000 0.000
-3.505 9.914 0.000
-3.505 -4.957 8.586
Y H Zn
12 48 20
direct
0.250 0.125 0.375
0.375 0.625 0.250
0.750 0.375 0.125
0.250 0.625 0.875
0.625 0.375 0.750
0.750 0.875 0.625
0.875 0.750 0.125
0.875 0.125 0.250
0.375 0.750 0.625
0.125 0.875 0.750
0.625 0.250 0.375
0.125 0.250 0.875
0.540 0.296 0.897
0.040 0.397 0.796
0.143 0.744 0.540
0.296 0.540 0.397
0.357 0.397 0.101
0.897 0.796 0.540
0.143 0.399 0.103
0.256 0.399 0.796
0.244 0.704 0.101
0.357 0.960 0.756
0.244 0.540 0.643
0.857 0.601 0.897
0.899 0.103 0.643
0.296 0.756 0.399
0.744 0.143 0.040
0.397 0.040 0.296
0.601 0.744 0.704
0.756 0.460 0.357
0.460 0.756 0.857
0.540 0.244 0.143
0.040 0.643 0.744
0.899 0.796 0.756
0.704 0.460 0.603
0.643 0.040 0.244
0.704 0.244 0.601
0.960 0.357 0.256
0.643 0.603 0.899
0.103 0.899 0.143
0.103 0.204 0.460
0.399 0.143 0.603
0.101 0.204 0.244
0.601 0.857 0.397
0.897 0.101 0.857
0.204 0.103 0.960
0.460 0.704 0.103
0.101 0.897 0.357
0.256 0.857 0.960
0.397 0.357 0.601
0.399 0.256 0.296
0.756 0.296 0.899
0.857 0.256 0.460
0.603 0.643 0.399
0.204 0.101 0.744
0.603 0.960 0.704
0.796 0.897 0.040
0.960 0.603 0.204
0.796 0.899 0.256
0.744 0.601 0.204
0.375 0.125 0.750
0.500 0.000 0.500
0.375 0.250 0.125
0.625 0.750 0.875
0.500 0.500 0.000
0.000 0.500 0.500
0.750 0.625 0.375
0.000 0.000 0.500
0.875 0.625 0.750
0.000 0.500 0.000
0.000 0.000 0.000
0.875 0.250 0.625
0.250 0.375 0.625
0.625 0.875 0.250
0.750 0.125 0.875
0.125 0.750 0.375
0.500 0.500 0.500
0.250 0.875 0.125
0.500 0.000 0.000
0.125 0.375 0.250
```

Output
Final energy ... -3.38 eV/atom

10.
Below is crystalline CsTl2GeBr5 at its relaxed geometry, with properties calculated at the GGA-PBE level.

Structure (POSCAR):
```
CsTl2GeBr5
1.0
9.157 0.000 0.000
0.000 9.157 0.000
-4.579 -4.579 8.149
Tl Br Cs Ge
4 10 2 2
direct
0.169 0.331 0.000
0.831 0.669 0.000
0.331 0.831 0.000
0.669 0.169 0.000
0.487 0.302 0.289
0.000 0.000 0.000
0.698 0.198 0.711
0.013 0.513 0.711
0.802 0.987 0.289
0.500 0.500 0.000
0.302 0.802 0.289
0.987 0.487 0.289
0.513 0.698 0.711
0.198 0.013 0.711
0.250 0.250 0.500
0.750 0.750 0.500
0.250 0.750 0.500
0.750 0.250 0.500
```

Output
Energy relative to the elements, uncorrected ... -0.949 eV per atom
Final energy ... -3.01 eV/atom

11.
Below is crystalline NiBPt at its relaxed geometry, with properties calculated at the GGA-PBE level.

Structure (POSCAR):
```
NiBPt
1.0
3.643 0.000 0.000
1.821 3.155 0.000
1.821 1.052 2.974
Pt Ni B
1 1 1
direct
0.000 0.000 0.000
0.500 0.500 0.500
0.250 0.250 0.250
```

Output
Formation energy ... -280 meV/atom
Final energy ... -6.45 eV/atom

12.
Below is crystalline Ba3Li2Ag2 at its relaxed geometry, with properties calculated at the GGA-PBE level.

Structure (POSCAR):
```
Ba3Li2Ag2
1.0
6.977 0.000 0.000
0.000 8.785 0.000
0.000 0.000 15.920
Ba Ag Li
12 8 8
direct
0.101 0.898 0.891
0.101 0.602 0.109
0.899 0.398 0.609
0.373 0.243 0.250
0.101 0.898 0.609
0.373 0.257 0.750
0.627 0.743 0.250
0.899 0.102 0.109
0.899 0.102 0.391
0.101 0.602 0.391
0.899 0.398 0.891
0.627 0.757 0.750
0.667 0.750 0.000
0.827 0.393 0.250
0.173 0.893 0.250
0.333 0.250 0.000
0.827 0.107 0.750
0.173 0.607 0.750
0.333 0.250 0.500
0.667 0.750 0.500
0.598 0.454 0.422
0.598 0.046 0.922
0.402 0.954 0.422
0.402 0.546 0.578
0.598 0.454 0.078
0.598 0.046 0.578
0.402 0.954 0.078
0.402 0.546 0.922
```

Output
Formation energy ... -138 meV/atom
Final energy ... -2.32 eV/atom

13.
Below is crystalline Be5Rh3 at its relaxed geometry, with properties calculated at the GGA-PBE level.

Structure (POSCAR):
```
Be5Rh3
1.0
6.628 -0.045 0.127
-5.055 4.061 -0.205
-0.640 -2.136 6.218
Rh Be
6 10
direct
0.655 0.748 0.532
0.313 0.092 0.563
0.914 0.433 0.201
0.947 0.817 0.905
0.876 0.334 0.754
0.415 0.587 0.092
0.778 0.013 0.932
0.256 0.374 0.724
0.391 0.223 0.243
0.865 0.746 0.250
0.521 0.296 0.942
0.287 0.711 0.598
0.823 0.533 0.518
0.566 0.006 0.377
0.338 0.866 0.020
0.048 0.219 0.349
```

Output
Formation energy ... -477 meV/atom
Final energy ... -5.56 eV/atom

14.
Below is crystalline YVGe3 at its relaxed geometry, with properties calculated at the GGA-PBE level.

Structure (POSCAR):
```
YVGe3
1.0
4.723 0.000 0.000
0.000 4.723 0.000
0.000 0.000 4.723
Ge Y V
3 1 1
direct
0.000 0.000 0.500
0.000 0.500 0.000
0.500 0.000 0.000
0.500 0.500 0.500
0.000 0.000 0.000
```

Output
Formation energy ... -123 meV/atom
Final energy ... -6.01 eV/atom

15.
Below is crystalline ErMnRhAu at its relaxed geometry, with properties calculated at the GGA-PBE level.

Structure (POSCAR):
```
ErMnRhAu
1.0
4.702 0.000 0.000
2.351 4.072 0.000
2.351 1.357 3.839
Rh Au Mn Er
1 1 1 1
direct
0.750 0.750 0.750
0.250 0.250 0.250
0.000 0.000 0.000
0.500 0.500 0.500
```

Output
Formation energy ... -444 meV/atom
Final energy ... -6.53 eV/atom

16.
Below is crystalline K7PSe6 at its relaxed geometry, with properties calculated at the GGA-PBE level.

Structure (POSCAR):
```
K7PSe6
1.0
-5.275 -3.998 -5.189
4.352 -10.922 -2.825
-7.174 -7.473 6.236
K Se P
14 12 2
direct
0.777 0.530 0.470
0.277 0.970 0.030
0.750 0.750 0.750
0.231 0.835 0.404
0.269 0.096 0.665
0.470 0.596 0.165
0.731 0.904 0.335
0.030 0.335 0.904
0.970 0.665 0.096
0.769 0.165 0.596
0.723 0.030 0.970
0.223 0.470 0.530
0.250 0.250 0.250
0.530 0.404 0.835
0.836 0.410 0.235
0.336 0.735 0.910
0.164 0.590 0.765
0.568 0.835 0.165
0.432 0.165 0.835
0.020 0.910 0.735
0.480 0.765 0.590
0.520 0.235 0.410
0.068 0.665 0.335
0.980 0.090 0.265
0.932 0.335 0.665
0.664 0.265 0.090
0.750 0.250 0.250
0.250 0.750 0.750
```

Output
Energy relative to the elements, uncorrected ... -0.932 eV per atom
Final energy ... -3.36 eV/atom

17.
Below is crystalline Tc4C at its relaxed geometry, with properties calculated at the GGA-PBE level.

Structure (POSCAR):
```
Tc4C
1.0
-0.703 -5.556 4.611
-4.777 -3.361 4.304
2.128 3.077 -6.216
C Tc
1 4
direct
0.000 0.000 0.000
0.250 0.750 0.500
0.411 0.411 0.000
0.589 0.589 0.000
0.750 0.250 0.500
```

Output
Formation energy ... 1383 meV/atom
Final energy ... -8.75 eV/atom

18.
Below is crystalline La2Sm5YHo at its relaxed geometry, with properties calculated at the GGA-PBE level.

Structure (POSCAR):
```
La2Sm5YHo
1.0
-3.540 -2.600 3.659
-3.140 -2.959 -9.607
6.667 -8.471 0.431
Ho Sm La Y
2 10 4 2
direct
0.799 0.599 0.511
0.201 0.401 0.011
0.386 0.771 0.022
0.703 0.405 0.205
0.278 0.557 0.311
0.481 0.963 0.742
0.519 0.037 0.242
0.722 0.443 0.811
0.985 0.969 0.521
0.297 0.595 0.705
0.614 0.229 0.522
0.015 0.031 0.021
0.886 0.772 0.234
0.117 0.233 0.317
0.114 0.228 0.734
0.883 0.767 0.817
0.591 0.183 0.962
0.409 0.817 0.462
```

Output
Formation energy ... 134 meV/atom
Final energy ... -4.81 eV/atom

19.
Below is crystalline Pr2SnH2 at its relaxed geometry, with properties calculated at the GGA-PBE level.

Structure (POSCAR):
```
Pr2SnH2
1.0
3.916 0.000 -1.463
-0.547 3.878 -1.463
0.139 0.160 6.345
Pr H Sn
2 2 1
direct
0.651 0.651 0.303
0.349 0.349 0.697
0.750 0.250 0.500
0.250 0.750 0.500
0.000 0.000 0.000
```

Output
Final energy ... -4.75 eV/atom